[1]
Here is MgAs2Rh after structural relaxation from Alexandria via LeMat-Bulk. Energies are from PBE-GGA.

a b c (Å): 5.6531 7.1815 3.3016
angles (deg): 90.00 90.59 90.00
Closest atoms and distances in Å follow each position.
Space group C2/m (No. 12)
Asymmetric unit:
Mg 0.0000 0.0000 0.0000 x2  8 As 2.81-2.83, 2 Rh 2.83
As 0.2500 0.2500 0.5000 x4  4 Mg 2.81-2.83, 4 Rh 2.81-2.83, 2 As 2.83
Rh 0.0000 0.5000 0.0000 x2  8 As 2.81-2.83, 2 Mg 2.83

Output
Electronic total energy in hartree per atom: -0.1760
Calculated volume in Å³ per cell: 134.0
ΔH_f (0 K) in meV per atom: -228
D(E_F) in states/eV/f.u.: 1.80
Total moment in μB per atom: 0.00

---

[2]
Here is MgAsRh2 after structural relaxation from Alexandria via LeMat-Bulk. Energies are from PBE-GGA.

a b c (Å): 3.7272 3.7272 8.6009
angles (deg): 90.00 90.00 90.00
Closest atoms and distances in Å follow each position.
Space group I-4m2 (No. 119)
Asymmetric unit:
Mg 0.0000 0.0000 0.0000 x2  8 Rh 2.64-2.85, 4 As 2.85
As 0.0000 0.5000 0.2500 x2  8 Rh 2.64-2.85, 4 Mg 2.85
Rh 0.0000 0.0000 0.5000 x2  4 Mg 2.64, 4 As 2.85, 4 Rh 2.85
Rh 0.0000 0.5000 0.7500 x2  4 As 2.64, 4 Mg 2.85, 4 Rh 2.85

Output
Electronic total energy in hartree per atom: -0.2050
Calculated volume in Å³ per cell: 119.5
ΔH_f (0 K) in meV per atom: -341
D(E_F) in states/eV/f.u.: 2.84
Total moment in μB per atom: 0.00